[1]
ZnCd2In | PBE-GGA | optimized geometry

CIF file:
```
data_ZnCd2In
_chemical_formula_sum 'Zn2 Cd4 In2'
_symmetry_space_group_name_H-M 'I -4 m 2'
_symmetry_Int_Tables_number 119
_symmetry_space_group_name_Hall 'I -4 -2'
_cell_length_a 4.426
_cell_length_b 4.426
_cell_length_c 8.962
_cell_angle_alpha 90.00
_cell_angle_beta 90.00
_cell_angle_gamma 90.00
loop_
_atom_site_label
_atom_site_type_symbol
_atom_site_fract_x
_atom_site_fract_y
_atom_site_fract_z
Zn1 Zn 0.000 0.000 0.000
Cd1 Cd 0.000 0.000 0.500
Cd2 Cd 0.000 0.500 0.750
In1 In 0.000 0.500 0.250
```

Summary:
The formation energy is 0.08 eV per atom. The polymorph energy (0 for the lowest one) comes out at 25 meV/atom. The calculation puts the magnetization at 0.00 μB per formula unit.

***

[2]
ZnCd5In | PBE-GGA | optimized geometry

CIF file:
```
data_ZnCd5In
_chemical_formula_sum 'Zn1 Cd5 In1'
_symmetry_space_group_name_H-M 'P 4/m m m'
_symmetry_Int_Tables_number 123
_symmetry_space_group_name_Hall '-P 4 2'
_cell_length_a 4.548
_cell_length_b 4.548
_cell_length_c 7.863
_cell_angle_alpha 90.00
_cell_angle_beta 90.00
_cell_angle_gamma 90.00
loop_
_atom_site_label
_atom_site_type_symbol
_atom_site_fract_x
_atom_site_fract_y
_atom_site_fract_z
Zn1 Zn 0.000 0.000 0.000
Cd1 Cd 0.000 0.500 0.206
Cd2 Cd 0.500 0.500 0.500
In1 In 0.000 0.000 0.500
```

Summary:
The formation energy is 0.05 eV per atom. The calculation puts the magnetization at 0.00 μB per formula unit.

***

[3]
Zn2CdIn2 | PBE-GGA | optimized geometry

CIF file:
```
data_Zn2CdIn2
_chemical_formula_sum 'Zn4 Cd2 In4'
_symmetry_space_group_name_H-M 'P 4/m b m'
_symmetry_Int_Tables_number 127
_symmetry_space_group_name_Hall '-P 4 2ab'
_cell_length_a 8.591
_cell_length_b 8.591
_cell_length_c 3.073
_cell_angle_alpha 90.00
_cell_angle_beta 90.00
_cell_angle_gamma 90.00
loop_
_atom_site_label
_atom_site_type_symbol
_atom_site_fract_x
_atom_site_fract_y
_atom_site_fract_z
Zn1 Zn 0.156 0.344 0.000
Cd1 Cd 0.000 0.000 0.500
In1 In 0.142 0.642 0.500
```

Summary:
The formation energy is 0.13 eV per atom. The polymorph energy (0 for the lowest one) comes out at 57 meV/atom. The calculation puts the magnetization at 0.00 μB per formula unit.

***

[4]
ZnCd3In12 | PBE-GGA | optimized geometry

CIF file:
```
data_ZnCd3In12
_chemical_formula_sum 'Zn1 Cd3 In12'
_symmetry_space_group_name_H-M 'P 4/m m m'
_symmetry_Int_Tables_number 123
_symmetry_space_group_name_Hall '-P 4 2'
_cell_length_a 4.722
_cell_length_b 4.722
_cell_length_c 18.389
_cell_angle_alpha 90.00
_cell_angle_beta 90.00
_cell_angle_gamma 90.00
loop_
_atom_site_label
_atom_site_type_symbol
_atom_site_fract_x
_atom_site_fract_y
_atom_site_fract_z
Zn1 Zn 0.000 0.000 0.000
Cd1 Cd 0.000 0.000 0.246
Cd2 Cd 0.000 0.000 0.500
In1 In 0.000 0.500 0.119
In2 In 0.000 0.500 0.373
In3 In 0.500 0.500 0.000
In4 In 0.500 0.500 0.246
In5 In 0.500 0.500 0.500
```

Summary:
The formation energy is 0.04 eV per atom. The calculation puts the magnetization at 0.00 μB per formula unit.

***

[5]
Zn2CdIn | PBE-GGA | optimized geometry

CIF file:
```
data_Zn2CdIn
_chemical_formula_sum 'Zn2 Cd1 In1'
_symmetry_space_group_name_H-M 'P 4 m m'
_symmetry_Int_Tables_number 99
_cell_length_a 3.125
_cell_length_b 3.125
_cell_length_c 8.228
_cell_angle_alpha 90.00
_cell_angle_beta 90.00
_cell_angle_gamma 90.00
loop_
_symmetry_equiv_pos_as_xyz
'x,y,z'
'-y,x,z'
'-x,-y,z'
'y,-x,z'
'-x,y,z'
'y,x,z'
'x,-y,z'
'-y,-x,z'
loop_
_atom_site_label
_atom_site_type_symbol
_atom_site_fract_x
_atom_site_fract_y
_atom_site_fract_z
Zn1 Zn 0.000 0.000 0.000
Zn2 Zn 0.500 0.500 0.191
Cd1 Cd 0.000 0.000 0.433
In1 In 0.500 0.500 0.737
```

Summary:
The formation energy is 0.08 eV per atom. The polymorph energy (0 for the lowest one) comes out at 3 meV/atom. The calculation puts the magnetization at 0.00 μB per formula unit.

***

[6]
ZnCd2In | PBE-GGA | optimized geometry

CIF file:
```
data_ZnCd2In
_chemical_formula_sum 'Zn1 Cd2 In1'
_symmetry_space_group_name_H-M 'P m m m'
_symmetry_Int_Tables_number 47
_cell_length_a 3.712
_cell_length_b 4.904
_cell_length_c 5.007
_cell_angle_alpha 90.00
_cell_angle_beta 90.00
_cell_angle_gamma 90.00
loop_
_symmetry_equiv_pos_as_xyz
'x,y,z'
'-x,-y,-z'
'-x,-y,z'
'x,y,-z'
'x,-y,-z'
'-x,y,z'
'-x,y,-z'
'x,-y,z'
loop_
_atom_site_label
_atom_site_type_symbol
_atom_site_fract_x
_atom_site_fract_y
_atom_site_fract_z
Zn1 Zn 0.000 0.000 0.000
Cd1 Cd 0.000 0.500 0.500
Cd2 Cd 0.500 0.000 0.500
In1 In 0.500 0.500 0.000
```

Summary:
The formation energy is 0.11 eV per atom. The polymorph energy (0 for the lowest one) comes out at 53 meV/atom. The calculation puts the magnetization at 0.00 μB per formula unit.

***

Number 1: theoretical density 7.662 g/cm³, total DFT energy (no corrections) -1.3815 eV/atom. Number 2: theoretical density 7.578 g/cm³, total DFT energy (no corrections) -1.1731 eV/atom. Number 3: theoretical density 6.926 g/cm³, total DFT energy (no corrections) -1.6552 eV/atom. Number 4: theoretical density 7.210 g/cm³, total DFT energy (no corrections) -2.2687 eV/atom. Number 5: theoretical density 7.398 g/cm³, total DFT energy (no corrections) -1.4729 eV/atom. Number 6: theoretical density 7.380 g/cm³, total DFT energy (no corrections) -1.3536 eV/atom.